# 1
A plane-wave DFT calculation with GGA-PBE was carried out for a relaxed structure of CsAs2Rh2.

Properties
**M_tot**: 0.0 μB/cell
**N(E_F)**: 2.36 states/eV/f.u.
**Electronic total energy**: -5.1541 eV/atom

Unit cell a=4.458 b=4.458 c=13.011 alpha=90.00 beta=90.00 gamma=90.00
Space group I4/mmm (No. 139)
One atom of each set of equivalent atoms:
Cs 0.000 0.000 0.000 x2
As 0.000 0.500 0.250 x4
Rh 0.000 0.000 0.330 x4


# 2
A plane-wave DFT calculation with GGA-PBE was carried out for a relaxed structure of CsAsRh3.

Properties
**M_tot**: 0.0 μB/cell
**Excess energy over the best structure of this formula in the dataset**: 0.00 kcal/mol of atoms
**N(E_F)**: 5.94 states/eV/f.u.
**Electronic total energy**: -5.0935 eV/atom

Unit cell a=4.764 b=4.764 c=4.764 alpha=90.00 beta=90.00 gamma=90.00
Space group Pm-3m (No. 221)
One atom of each set of equivalent atoms:
Cs 0.000 0.000 0.000 x1
As 0.500 0.500 0.500 x1
Rh 0.000 0.500 0.500 x3


# 3
A plane-wave DFT calculation with GGA-PBE was carried out for a relaxed structure of CsAs2Rh2.

Properties
**M_tot**: 0.0 μB/cell
**N(E_F)**: 1.09 states/eV/f.u.
**Electronic total energy**: -5.6058 eV/atom

Unit cell a=4.060 b=4.060 c=14.879 alpha=90.00 beta=90.00 gamma=90.00
Space group I4/mmm (No. 139)
One atom of each set of equivalent atoms:
Cs 0.000 0.000 0.000 x2
As 0.000 0.000 0.342 x4
Rh 0.000 0.500 0.250 x4


# 4
A plane-wave DFT calculation with GGA-PBE was carried out for a relaxed structure of CsAsRh3.

Properties
**M_tot**: 0.0 μB/cell
**Excess energy over the best structure of this formula in the dataset**: 38.98 kcal/mol of atoms
**N(E_F)**: 2.62 states/eV/f.u.
**Electronic total energy**: -3.4030 eV/atom

Unit cell a=4.946 b=4.946 c=4.946 alpha=90.00 beta=90.00 gamma=90.00
Space group Pm-3m (No. 221)
One atom of each set of equivalent atoms:
Cs 0.000 0.000 0.000 x1
As 0.500 0.500 0.500 x1
Rh 0.000 0.000 0.500 x3


# 5
A plane-wave DFT calculation with GGA-PBE was carried out for a relaxed structure of CsAs3Rh4.

Properties
**M_tot**: 0.0 μB/cell
**N(E_F)**: 4.20 states/eV/f.u.
**Electronic total energy**: -6.0478 eV/atom

Unit cell a=4.047 b=4.047 c=10.322 alpha=90.00 beta=90.00 gamma=90.00
Space group P4/mmm (No. 123)
One atom of each set of equivalent atoms:
Cs 0.000 0.000 0.000 x1
As 0.000 0.000 0.500 x1
As 0.500 0.500 0.224 x2
Rh 0.000 0.500 0.356 x4


# 6
A plane-wave DFT calculation with GGA-PBE was carried out for a relaxed structure of CsSbAsRh2.

Properties
**M_tot**: 0.0 μB/cell
**Uncorrected formation energy**: -0.524 eV/atom
**N(E_F)**: 1.61 states/eV/f.u.
**Electronic total energy**: -5.3901 eV/atom

Unit cell a=8.292 b=4.134 c=8.472 alpha=90.00 beta=103.73 gamma=90.00
Space group P2_1/m (No. 11)
One atom of each set of equivalent atoms:
Cs 0.240 0.250 0.058 x2
Sb 0.418 0.250 0.688 x2
As 0.083 0.750 0.336 x2
Rh 0.120 0.250 0.496 x2
Rh 0.369 0.750 0.495 x2


# 7
A plane-wave DFT calculation with GGA-PBE was carried out for a relaxed structure of CsSbAsRh.

Properties
**M_tot**: 0.0 μB/cell
**Uncorrected formation energy**: -0.455 eV/atom
**N(E_F)**: 2.02 states/eV/f.u.
**Electronic total energy**: -4.6989 eV/atom

Unit cell a=4.182 b=4.182 c=13.992 alpha=90.00 beta=90.00 gamma=90.00
Space group P4/nmm (No. 129, origin choice 2)
One atom of each set of equivalent atoms:
Cs 0.250 0.250 0.246 x2
Sb 0.250 0.750 0.000 x2
As 0.250 0.250 0.594 x2
Rh 0.250 0.750 0.500 x2


# 8
A plane-wave DFT calculation with GGA-PBE was carried out for a relaxed structure of CsAs2RhSe.

Properties
**M_tot**: 0.0 μB/cell
**Uncorrected formation energy**: 0.019 eV/atom
**Excess energy over the best structure of this formula in the dataset**: 0.00 kcal/mol of atoms
**N(E_F)**: 4.18 states/eV/f.u.
**Electronic total energy**: -4.1787 eV/atom

Unit cell a=4.834 b=4.834 c=5.751 alpha=90.00 beta=90.00 gamma=90.00
Space group P4/mmm (No. 123)
One atom of each set of equivalent atoms:
Cs 0.000 0.000 0.000 x1
As 0.000 0.500 0.500 x2
Rh 0.500 0.500 0.500 x1
Se 0.500 0.500 0.000 x1


# 9
A plane-wave DFT calculation with GGA-PBE was carried out for a relaxed structure of CsAsRhSe2.

Properties
**M_tot**: 0.2 μB/cell
**Uncorrected formation energy**: -0.104 eV/atom
**Excess energy over the best structure of this formula in the dataset**: 0.00 kcal/mol of atoms
**N(E_F)**: 6.53 states/eV/f.u.
**Electronic total energy**: -4.0685 eV/atom

Unit cell a=5.363 b=5.363 c=4.670 alpha=90.00 beta=90.00 gamma=90.00
Space group P4/mmm (No. 123)
One atom of each set of equivalent atoms:
Cs 0.000 0.000 0.000 x1
As 0.500 0.500 0.000 x1
Rh 0.500 0.500 0.500 x1
Se 0.000 0.500 0.500 x2


# 10
A plane-wave DFT calculation with GGA-PBE was carried out for a relaxed structure of CsAs2RhSe.

Properties
**M_tot**: 1.8 μB/cell
**Uncorrected formation energy**: 2.128 eV/atom
**Excess energy over the best structure of this formula in the dataset**: 48.64 kcal/mol of atoms
**N(E_F)**: 8.19 states/eV/f.u.
**Electronic total energy**: -2.0692 eV/atom

Unit cell a=5.722 b=5.722 c=5.502 alpha=90.00 beta=90.00 gamma=90.00
Space group P4/mmm (No. 123)
One atom of each set of equivalent atoms:
Cs 0.000 0.000 0.000 x1
As 0.000 0.500 0.000 x2
Rh 0.500 0.500 0.500 x1
Se 0.000 0.000 0.500 x1


# 11
A plane-wave DFT calculation with GGA-PBE was carried out for a relaxed structure of CsAsRhSe2.

Properties
**M_tot**: 0.0 μB/cell
**Uncorrected formation energy**: 1.984 eV/atom
**Excess energy over the best structure of this formula in the dataset**: 48.14 kcal/mol of atoms
**N(E_F)**: 14.57 states/eV/f.u.
**Electronic total energy**: -1.9809 eV/atom

Unit cell a=5.542 b=5.542 c=5.842 alpha=90.00 beta=90.00 gamma=90.00
Space group P4/mmm (No. 123)
One atom of each set of equivalent atoms:
Cs 0.000 0.000 0.000 x1
As 0.000 0.000 0.500 x1
Rh 0.500 0.500 0.500 x1
Se 0.000 0.500 0.000 x2


# 12
A plane-wave DFT calculation with GGA-PBE was carried out for a relaxed structure of CsSnAsRh.

Properties
**M_tot**: 0.0 μB/cell
**N(E_F)**: 2.74 states/eV/f.u.
**Electronic total energy**: -4.6147 eV/atom

Unit cell a=4.172 b=4.172 c=14.174 alpha=90.00 beta=90.00 gamma=90.00
Space group P4/nmm (No. 129, origin choice 2)
One atom of each set of equivalent atoms:
Cs 0.250 0.250 0.248 x2
Sn 0.250 0.750 0.500 x2
As 0.250 0.250 0.907 x2
Rh 0.250 0.750 0.000 x2


Question: Which value of electronic total energy does entry 11 give?
Answer: -1.9809 eV/atom